Record 1
A relaxed YSc2IrRu crystal, computed with GGA-PBEsol.

The space group is P4/mmm (No. 123) and the conventional cell measures 4.854, 4.854 and 4.867 Å, with angles of 90.00, 90.00 and 90.00 degrees. The asymmetric unit holds Y at (0.000, 0.000, 0.000), Sc at (0.000, 0.500, 0.500), Ir at (0.500, 0.500, 0.500) and Ru at (0.500, 0.500, 0.000).

The value obtained for the spin magnetization is 0.00 μB/cell. The mass density is 6.836 g/cm³. The energy comes out at -7.905 eV/atom.



Record 2
A relaxed NbPb3O crystal, computed with GGA-PBEsol.

The space group is Pm-3m (No. 221) and the conventional cell measures 4.786, 4.786 and 4.786 Å, with angles of 90.00, 90.00 and 90.00 degrees. The asymmetric unit holds Nb at (0.000, 0.000, 0.000), Pb at (0.000, 0.500, 0.500) and O at (0.500, 0.500, 0.500).

For the uncorrected formation energy, the calculation gives 0.234 eV per atom. The value obtained for the spin magnetization is 0.94 μB/cell. The mass density is 11.067 g/cm³.



Record 3
A relaxed CdHgAu2 crystal, computed with GGA-PBEsol.

The space group is Pmm2 (No. 25) and the conventional cell measures 3.138, 3.956 and 5.985 Å, with angles of 90.00, 90.00 and 90.00 degrees. The asymmetric unit holds Cd at (0.000, 0.000, 0.000), Hg at (0.500, 0.500, 0.275), Au at (0.000, 0.000, 0.520) and Au at (0.500, 0.500, 0.768).

The value obtained for the spin magnetization is 0.00 μB/cell. The mass density is 15.798 g/cm³. The energy comes out at -2.436 eV/atom.



Record 4
A relaxed Sc2AgAu crystal, computed with GGA-PBEsol.

The space group is P4/mmm (No. 123) and the conventional cell measures 3.359, 3.359 and 6.751 Å, with angles of 90.00, 90.00 and 90.00 degrees. The asymmetric unit holds Sc at (0.000, 0.000, 0.246), Ag at (0.500, 0.500, 0.500) and Au at (0.500, 0.500, 0.000).

The value obtained for the spin magnetization is 0.00 μB/cell. The mass density is 8.604 g/cm³. The calculation puts the energy above the most stable polymorph in this dataset at 0.007 eV/atom.



Q: Look up the mass density of the fourth one.
A: 8.604 g/cm³



Q: The lowest mass density belongs to which entry?
A: YSc2IrRu



Please write out number 1 again, unchanged.
A relaxed YSc2IrRu crystal, computed with GGA-PBEsol.

The space group is P4/mmm (No. 123) and the conventional cell measures 4.854, 4.854 and 4.867 Å, with angles of 90.00, 90.00 and 90.00 degrees. The asymmetric unit holds Y at (0.000, 0.000, 0.000), Sc at (0.000, 0.500, 0.500), Ir at (0.500, 0.500, 0.500) and Ru at (0.500, 0.500, 0.000).

The value obtained for the spin magnetization is 0.00 μB/cell. The mass density is 6.836 g/cm³. The energy comes out at -7.905 eV/atom.



Copy entry 3 word for word.
A relaxed CdHgAu2 crystal, computed with GGA-PBEsol.

The space group is Pmm2 (No. 25) and the conventional cell measures 3.138, 3.956 and 5.985 Å, with angles of 90.00, 90.00 and 90.00 degrees. The asymmetric unit holds Cd at (0.000, 0.000, 0.000), Hg at (0.500, 0.500, 0.275), Au at (0.000, 0.000, 0.520) and Au at (0.500, 0.500, 0.768).

The value obtained for the spin magnetization is 0.00 μB/cell. The mass density is 15.798 g/cm³. The energy comes out at -2.436 eV/atom.